The following is a DFT calculation (PBE with a Hubbard U) of a relaxed LiFe8O12 crystal.

```
LiFe8O12
1.0
5.828 0.000 0.000
0.000 5.211 0.000
-1.112 0.000 7.543
Li Fe O
1 8 12
direct
0.000 0.000 0.000
0.157 0.020 0.389
0.290 0.508 0.080
0.309 0.518 0.581
0.458 0.016 0.779
0.542 0.016 0.221
0.691 0.518 0.419
0.710 0.508 0.920
0.843 0.020 0.611
0.000 0.323 0.500
0.000 0.649 0.000
0.170 0.869 0.641
0.213 0.165 0.169
0.355 0.703 0.329
0.362 0.362 0.834
0.500 0.189 0.500
0.500 0.814 0.000
0.638 0.362 0.166
0.645 0.703 0.671
0.787 0.165 0.831
0.830 0.869 0.359
```

## Properties
Its final energy is -136.087 eV/cell. The symmetry is No. 3. As for the crystal system: monoclinic. The density comes out at 4.68 g/cm³.